Entry 1:
Here is CaTm2GeN4 after structural relaxation from Alexandria via LeMat-Bulk. Energies are from PBE.

The structure in CIF format:
```
data_CaTm2GeN4
_chemical_formula_sum 'Ca2 Tm4 Ge2 N8'
_symmetry_space_group_name_H-M 'P 1'
_symmetry_Int_Tables_number 1
_symmetry_space_group_name_Hall 'P 1'
_cell_length_a 3.336
_cell_length_b 6.032
_cell_length_c 11.642
_cell_angle_alpha 90.00
_cell_angle_beta 90.00
_cell_angle_gamma 106.05
loop_
_atom_site_label
_atom_site_type_symbol
_atom_site_fract_x
_atom_site_fract_y
_atom_site_fract_z
Ca1 Ca 0.100 0.200 0.750
Ca2 Ca 0.900 0.800 0.250
Tm1 Tm 0.370 0.740 0.538
Tm2 Tm 0.630 0.260 0.038
Tm3 Tm 0.630 0.260 0.462
Tm4 Tm 0.370 0.740 0.962
Ge1 Ge 0.830 0.659 0.750
Ge2 Ge 0.170 0.341 0.250
N1 N 0.262 0.523 0.122
N2 N 0.738 0.477 0.622
N3 N 0.738 0.477 0.878
N4 N 0.262 0.523 0.378
N5 N 0.000 0.000 0.500
N6 N 0.000 0.000 0.000
N7 N 0.426 0.851 0.750
N8 N 0.574 0.149 0.250
```

Values from the calculation:
The formation energy without anion corrections is -1.13 eV/atom. As for the crystal system: orthorhombic. The calculation puts the total magnetic moment at 0.0000 μB per atom. The value obtained for the final energy is -7.233 eV per atom.


Entry 2:
Here is ZrCo5Si after structural relaxation from Alexandria via LeMat-Bulk. Energies are from PBE.

The structure in CIF format:
```
data_ZrCo5Si
_chemical_formula_sum 'Zr4 Co20 Si4'
_symmetry_space_group_name_H-M 'P 1'
_symmetry_Int_Tables_number 1
_symmetry_space_group_name_Hall 'P 1'
_cell_length_a 4.679
_cell_length_b 7.634
_cell_length_c 9.670
_cell_angle_alpha 90.00
_cell_angle_beta 90.00
_cell_angle_gamma 90.00
loop_
_atom_site_label
_atom_site_type_symbol
_atom_site_fract_x
_atom_site_fract_y
_atom_site_fract_z
Zr1 Zr 0.250 0.242 0.939
Zr2 Zr 0.750 0.258 0.439
Zr3 Zr 0.250 0.742 0.561
Zr4 Zr 0.750 0.758 0.061
Co1 Co 0.250 0.602 0.019
Co2 Co 0.750 0.898 0.519
Co3 Co 0.250 0.102 0.481
Co4 Co 0.750 0.398 0.981
Co5 Co 0.750 0.313 0.745
Co6 Co 0.250 0.187 0.245
Co7 Co 0.750 0.813 0.755
Co8 Co 0.250 0.687 0.255
Co9 Co 0.250 0.946 0.081
Co10 Co 0.750 0.554 0.581
Co11 Co 0.250 0.446 0.419
Co12 Co 0.750 0.054 0.919
Co13 Co 0.991 0.436 0.194
Co14 Co 0.009 0.064 0.694
Co15 Co 0.509 0.936 0.306
Co16 Co 0.491 0.564 0.806
Co17 Co 0.009 0.564 0.806
Co18 Co 0.991 0.936 0.306
Co19 Co 0.491 0.064 0.694
Co20 Co 0.509 0.436 0.194
Si1 Si 0.250 0.858 0.855
Si2 Si 0.750 0.642 0.355
Si3 Si 0.250 0.358 0.645
Si4 Si 0.750 0.142 0.145
```

Values from the calculation:
The formation energy without anion corrections is -0.30 eV/atom. As for the crystal system: orthorhombic. The calculation puts the total magnetic moment at 0.6132 μB per atom. The value obtained for the final energy is -7.371 eV per atom.


Entry 3:
Here is SiBi2S after structural relaxation from Alexandria via LeMat-Bulk. Energies are from PBE.

The structure in CIF format:
```
data_SiBi2S
_chemical_formula_sum 'Si2 Bi4 S2'
_symmetry_space_group_name_H-M 'P 1'
_symmetry_Int_Tables_number 1
_symmetry_space_group_name_Hall 'P 1'
_cell_length_a 6.648
_cell_length_b 6.648
_cell_length_c 7.881
_cell_angle_alpha 65.05
_cell_angle_beta 65.05
_cell_angle_gamma 90.00
loop_
_atom_site_label
_atom_site_type_symbol
_atom_site_fract_x
_atom_site_fract_y
_atom_site_fract_z
S1 S 0.000 0.000 0.000
S2 S 0.750 0.250 0.500
Si1 Si 0.500 0.500 0.000
Si2 Si 0.250 0.750 0.500
Bi1 Bi 0.620 0.125 0.250
Bi2 Bi 0.130 0.625 0.250
Bi3 Bi 0.375 0.380 0.750
Bi4 Bi 0.875 0.870 0.750
```

Values from the calculation:
The formation energy without anion corrections is 0.32 eV/atom. As for the crystal system: tetragonal. The calculation puts the total magnetic moment at 0.0000 μB per atom. The value obtained for the final energy is -4.010 eV per atom.


Entry 4:
Here is Tb2TmZn2 after structural relaxation from Alexandria via LeMat-Bulk. Energies are from PBE.

The structure in CIF format:
```
data_Tb2TmZn2
_chemical_formula_sum 'Tb4 Tm2 Zn4'
_symmetry_space_group_name_H-M 'P 1'
_symmetry_Int_Tables_number 1
_symmetry_space_group_name_Hall 'P 1'
_cell_length_a 3.604
_cell_length_b 5.104
_cell_length_c 13.317
_cell_angle_alpha 90.00
_cell_angle_beta 97.82
_cell_angle_gamma 90.00
loop_
_atom_site_label
_atom_site_type_symbol
_atom_site_fract_x
_atom_site_fract_y
_atom_site_fract_z
Tb1 Tb 0.046 0.750 0.092
Tb2 Tb 0.954 0.250 0.908
Tb3 Tb 0.232 0.750 0.465
Tb4 Tb 0.768 0.250 0.535
Tm1 Tm 0.856 0.750 0.713
Tm2 Tm 0.144 0.250 0.287
Zn1 Zn 0.639 0.750 0.279
Zn2 Zn 0.361 0.250 0.721
Zn3 Zn 0.449 0.750 0.898
Zn4 Zn 0.551 0.250 0.102
```

Values from the calculation:
As for the crystal system: orthorhombic. The calculation puts the total magnetic moment at 0.0000 μB per atom. The excess energy over the best structure of this formula in the dataset comes out at 0 meV per atom. The value obtained for the final energy is -3.521 eV per atom. The calculation puts the energy of formation at -265 meV/atom.


Entry 5:
Here is Tb3Ce2S8 after structural relaxation from Alexandria via LeMat-Bulk. Energies are from PBE.

The structure in CIF format:
```
data_Tb3Ce2S8
_chemical_formula_sum 'Tb3 Ce2 S8'
_symmetry_space_group_name_H-M 'P 1'
_symmetry_Int_Tables_number 1
_symmetry_space_group_name_Hall 'P 1'
_cell_length_a 6.691
_cell_length_b 7.949
_cell_length_c 8.104
_cell_angle_alpha 119.37
_cell_angle_beta 107.32
_cell_angle_gamma 90.00
loop_
_atom_site_label
_atom_site_type_symbol
_atom_site_fract_x
_atom_site_fract_y
_atom_site_fract_z
Tb1 Tb 0.500 0.000 0.000
Tb2 Tb 0.000 0.261 0.000
Tb3 Tb 0.000 0.739 0.000
Ce1 Ce 0.335 0.264 0.528
Ce2 Ce 0.665 0.736 0.472
S1 S 0.893 0.610 0.220
S2 S 0.107 0.390 0.780
S3 S 0.926 0.115 0.231
S4 S 0.074 0.885 0.769
S5 S 0.587 0.646 0.749
S6 S 0.587 0.103 0.749
S7 S 0.413 0.897 0.251
S8 S 0.413 0.354 0.251
```

Values from the calculation:
The formation energy without anion corrections is -1.95 eV/atom. As for the crystal system: monoclinic. The calculation puts the total magnetic moment at 0.0796 μB per atom. The excess energy over the best structure of this formula in the dataset comes out at 0 meV per atom. The value obtained for the final energy is -6.468 eV per atom.


Entry 6:
Here is MnBeNbN2 after structural relaxation from Alexandria via LeMat-Bulk. Energies are from PBE.

The structure in CIF format:
```
data_MnBeNbN2
_chemical_formula_sum 'Mn1 Be1 Nb1 N2'
_symmetry_space_group_name_H-M 'P 1'
_symmetry_Int_Tables_number 1
_symmetry_space_group_name_Hall 'P 1'
_cell_length_a 3.979
_cell_length_b 5.490
_cell_length_c 3.979
_cell_angle_alpha 90.00
_cell_angle_beta 90.00
_cell_angle_gamma 90.00
loop_
_atom_site_label
_atom_site_type_symbol
_atom_site_fract_x
_atom_site_fract_y
_atom_site_fract_z
Be1 Be 0.500 0.500 0.500
Nb1 Nb 0.000 0.000 0.000
Mn1 Mn 0.000 0.500 0.000
N1 N 0.000 0.000 0.500
N2 N 0.500 0.000 0.000
```

Values from the calculation:
The formation energy without anion corrections is 1.20 eV/atom. As for the crystal system: tetragonal. The calculation puts the total magnetic moment at 0.9008 μB per atom. The value obtained for the final energy is -6.723 eV per atom.


Entry 7:
Here is Sm4MgIn12 after structural relaxation from Alexandria via LeMat-Bulk. Energies are from PBE.

The structure in CIF format:
```
data_Sm4MgIn12
_chemical_formula_sum 'Sm4 Mg1 In12'
_symmetry_space_group_name_H-M 'P 1'
_symmetry_Int_Tables_number 1
_symmetry_space_group_name_Hall 'P 1'
_cell_length_a 8.295
_cell_length_b 8.295
_cell_length_c 8.295
_cell_angle_alpha 109.47
_cell_angle_beta 109.47
_cell_angle_gamma 109.47
loop_
_atom_site_label
_atom_site_type_symbol
_atom_site_fract_x
_atom_site_fract_y
_atom_site_fract_z
Sm1 Sm 0.000 0.000 0.500
Sm2 Sm 0.500 0.000 0.000
Sm3 Sm 0.500 0.500 0.500
Sm4 Sm 0.000 0.500 0.000
Mg1 Mg 0.000 0.000 0.000
In1 In 0.000 0.295 0.295
In2 In 0.000 0.705 0.705
In3 In 0.705 0.705 0.000
In4 In 0.295 0.295 0.000
In5 In 0.295 0.000 0.295
In6 In 0.705 0.000 0.705
In7 In 0.500 0.250 0.750
In8 In 0.500 0.750 0.250
In9 In 0.750 0.250 0.500
In10 In 0.250 0.750 0.500
In11 In 0.750 0.500 0.250
In12 In 0.250 0.500 0.750
```

Values from the calculation:
As for the crystal system: cubic. The calculation puts the total magnetic moment at 0.0000 μB per atom. The value obtained for the final energy is -3.500 eV per atom. The calculation puts the energy of formation at -362 meV/atom.


Entry 8:
Here is TbSiBRu2 after structural relaxation from Alexandria via LeMat-Bulk. Energies are from PBE.

The structure in CIF format:
```
data_TbSiBRu2
_chemical_formula_sum 'Tb2 Si2 B2 Ru4'
_symmetry_space_group_name_H-M 'P 1'
_symmetry_Int_Tables_number 1
_symmetry_space_group_name_Hall 'P 1'
_cell_length_a 3.937
_cell_length_b 5.903
_cell_length_c 7.170
_cell_angle_alpha 90.00
_cell_angle_beta 90.00
_cell_angle_gamma 109.48
loop_
_atom_site_label
_atom_site_type_symbol
_atom_site_fract_x
_atom_site_fract_y
_atom_site_fract_z
Tb1 Tb 0.450 0.899 0.750
Tb2 Tb 0.550 0.101 0.250
Si1 Si 0.728 0.456 0.750
Si2 Si 0.272 0.544 0.250
B1 B 0.000 0.000 0.000
B2 B 0.000 0.000 0.500
Ru1 Ru 0.171 0.341 0.940
Ru2 Ru 0.829 0.659 0.060
Ru3 Ru 0.171 0.341 0.560
Ru4 Ru 0.829 0.659 0.440
```

Values from the calculation:
The formation energy without anion corrections is -0.63 eV/atom. As for the crystal system: orthorhombic. The calculation puts the total magnetic moment at 0.0000 μB per atom. The value obtained for the final energy is -7.684 eV per atom.


Entry 9:
Here is UBiPdO6 after structural relaxation from Alexandria via LeMat-Bulk. Energies are from PBE.

The structure in CIF format:
```
data_UBiPdO6
_chemical_formula_sum 'U2 Bi2 Pd2 O12'
_symmetry_space_group_name_H-M 'P 1'
_symmetry_Int_Tables_number 1
_symmetry_space_group_name_Hall 'P 1'
_cell_length_a 5.443
_cell_length_b 5.443
_cell_length_c 10.326
_cell_angle_alpha 90.00
_cell_angle_beta 90.00
_cell_angle_gamma 120.00
loop_
_atom_site_label
_atom_site_type_symbol
_atom_site_fract_x
_atom_site_fract_y
_atom_site_fract_z
U1 U 0.667 0.333 0.250
U2 U 0.333 0.667 0.750
Bi1 Bi 0.000 0.000 0.000
Bi2 Bi 0.000 0.000 0.500
Pd1 Pd 0.333 0.667 0.250
Pd2 Pd 0.667 0.333 0.750
O1 O 0.652 0.647 0.137
O2 O 0.996 0.348 0.137
O3 O 0.348 0.996 0.637
O4 O 0.004 0.652 0.863
O5 O 0.353 0.348 0.363
O6 O 0.996 0.647 0.363
O7 O 0.647 0.996 0.863
O8 O 0.652 0.004 0.363
O9 O 0.004 0.353 0.637
O10 O 0.353 0.004 0.137
O11 O 0.647 0.652 0.637
O12 O 0.348 0.353 0.863
```

Values from the calculation:
The formation energy without anion corrections is -1.77 eV/atom. As for the crystal system: trigonal. The calculation puts the total magnetic moment at 0.1160 μB per atom. The value obtained for the final energy is -7.333 eV per atom.


Entry 10:
Here is KYCd2 after structural relaxation from Alexandria via LeMat-Bulk. Energies are from PBE.

The structure in CIF format:
```
data_KYCd2
_chemical_formula_sum 'K1 Y1 Cd2'
_symmetry_space_group_name_H-M 'P 1'
_symmetry_Int_Tables_number 1
_symmetry_space_group_name_Hall 'P 1'
_cell_length_a 5.203
_cell_length_b 5.203
_cell_length_c 8.101
_cell_angle_alpha 82.37
_cell_angle_beta 82.37
_cell_angle_gamma 39.66
loop_
_atom_site_label
_atom_site_type_symbol
_atom_site_fract_x
_atom_site_fract_y
_atom_site_fract_z
Cd1 Cd 0.989 0.989 0.060
Cd2 Cd 0.511 0.511 0.440
K1 K 0.750 0.750 0.750
Y1 Y 0.250 0.250 0.250
```

Values from the calculation:
As for the crystal system: monoclinic. The calculation puts the total magnetic moment at 0.0000 μB per atom. The excess energy over the best structure of this formula in the dataset comes out at 172 meV per atom. The value obtained for the final energy is -2.293 eV per atom. The calculation puts the energy of formation at 55 meV/atom.


Entry 11:
Here is LaMo2Br after structural relaxation from Alexandria via LeMat-Bulk. Energies are from PBE.

The structure in CIF format:
```
data_LaMo2Br
_chemical_formula_sum 'La1 Mo2 Br1'
_symmetry_space_group_name_H-M 'P 1'
_symmetry_Int_Tables_number 1
_symmetry_space_group_name_Hall 'P 1'
_cell_length_a 4.881
_cell_length_b 4.881
_cell_length_c 4.881
_cell_angle_alpha 60.00
_cell_angle_beta 60.00
_cell_angle_gamma 60.00
loop_
_atom_site_label
_atom_site_type_symbol
_atom_site_fract_x
_atom_site_fract_y
_atom_site_fract_z
Mo1 Mo 0.000 0.000 0.000
Mo2 Mo 0.250 0.250 0.250
Br1 Br 0.500 0.500 0.500
La1 La 0.750 0.750 0.750
```

Values from the calculation:
The formation energy without anion corrections is 0.68 eV/atom. As for the crystal system: cubic. The calculation puts the total magnetic moment at 0.0000 μB per atom. The excess energy over the best structure of this formula in the dataset comes out at 712 meV per atom. The value obtained for the final energy is -6.384 eV per atom.